1.
{"formula": "Sr3AlSb4", "functional": "PBE", "state": "relaxed", "cell": [[-2.877, 7.385, 3.466], [2.877, -7.385, 3.466], [2.877, 7.385, -3.466]], "species": ["Sr", "Sr", "Sr", "Al", "Sb", "Sb", "Sb", "Sb"], "fractional_positions": [[0.000, 0.000, 0.000], [0.220, 0.929, 0.291], [0.638, 0.929, 0.709], [0.766, 0.266, 0.500], [0.099, 0.437, 0.662], [0.439, 0.192, 0.754], [0.439, 0.685, 0.246], [0.775, 0.437, 0.338]], "sg": "No. 44", "crystal_system": "orthorhombic"}

2.
{"formula": "SrAl2Sb", "functional": "PBE", "state": "relaxed", "cell": [[3.357, 0.000, 0.000], [0.000, 4.997, 0.000], [-0.002, 0.000, 6.128]], "species": ["Sr", "Al", "Al", "Sb"], "fractional_positions": [[0.000, 0.000, 0.000], [0.501, 0.000, 0.476], [0.501, 0.500, 0.276], [0.499, 0.500, 0.745]], "sg": "No. 6", "crystal_system": "monoclinic"}

3.
{"formula": "SrAl2Sb", "functional": "PBE", "state": "relaxed", "cell": [[3.805, 0.000, 0.000], [0.000, 3.805, 0.000], [0.000, 0.000, 7.044]], "species": ["Sr", "Al", "Al", "Sb"], "fractional_positions": [[0.000, 0.000, 0.000], [0.000, 0.000, 0.479], [0.500, 0.500, 0.303], [0.500, 0.500, 0.688]], "sg": "No. 99", "crystal_system": "tetragonal"}

4.
{"formula": "SrAl4Sb", "functional": "PBE", "state": "relaxed", "cell": [[0.000, 4.059, 4.059], [4.059, 0.000, 4.059], [4.059, 4.059, 0.000]], "species": ["Sr", "Al", "Al", "Al", "Al", "Sb"], "fractional_positions": [[0.000, 0.000, 0.000], [0.128, 0.624, 0.624], [0.624, 0.128, 0.624], [0.624, 0.624, 0.128], [0.624, 0.624, 0.624], [0.250, 0.250, 0.250]], "sg": "No. 216", "crystal_system": "cubic"}

Formation energy without anion corrections (computed, eV/atom): -0.60, -0.14, -0.21, -0.03